[1]
Entry from the Open Quantum Materials Database: crystalline Cs2AgPbF6 at its relaxed geometry (PBE-GGA).

Properties
- Total energy: -41.20 eV per formula unit

Unit cell a=6.371 b=6.376 c=9.023 alpha=90.02 beta=90.00 gamma=90.01
Fractional coordinates of all 20 atoms:
F  0.202  0.807  0.500
Ag  0.450  0.550  0.000
F  0.695  0.801  0.999
F  0.700  0.305  0.000
Cs  0.450  0.050  0.750
F  0.193  0.302  0.499
Cs  0.450  0.050  0.250
F  0.449  0.549  0.752
F  0.205  0.300  0.001
Cs  0.950  0.550  0.250
Pb  0.450  0.550  0.500
Cs  0.950  0.550  0.750
F  0.707  0.797  0.501
F  0.951  0.050  0.748
F  0.200  0.796  0.000
Ag  0.950  0.050  0.500
Pb  0.950  0.050  0.000
F  0.949  0.050  0.252
F  0.451  0.550  0.248
F  0.697  0.293  0.500


[2]
Entry from the Open Quantum Materials Database: crystalline Ta3AsCN at its relaxed geometry (PBE-GGA).

Properties
- Total energy: -61.25 eV per formula unit

Unit cell a=3.199 b=3.199 c=17.606 alpha=90.00 beta=90.00 gamma=120.00
Fractional coordinates of all 12 atoms:
Ta  0.000  0.000  0.000
Ta  0.000  0.000  0.500
As  0.000  0.000  0.253
N  0.333  0.667  0.431
C  0.333  0.667  0.073
Ta  0.333  0.667  0.858
As  0.000  0.000  0.747
Ta  0.333  0.667  0.640
Ta  0.667  0.333  0.360
Ta  0.667  0.333  0.142
N  0.667  0.333  0.569
C  0.667  0.333  0.927


[3]
Entry from the Open Quantum Materials Database: crystalline UGaFe at its relaxed geometry (PBE-GGA).

Properties
- Total energy: -22.48 eV per formula unit

Unit cell a=4.274 b=4.274 c=4.274 alpha=60.00 beta=60.00 gamma=60.00
Last column: magnetic moment on the atom in μB.
Fractional coordinates of all 3 atoms:
Fe  0.000  0.000  0.000  -0.35
Ga  0.750  0.750  0.750  0.03
U  0.250  0.250  0.250  1.62


[4]
Entry from the Open Quantum Materials Database: crystalline LiNbPd at its relaxed geometry (PBE-GGA).

Properties
- Total energy: -16.26 eV per formula unit

Unit cell a=4.268 b=4.268 c=4.268 alpha=60.00 beta=60.00 gamma=60.00
Fractional coordinates of all 3 atoms:
Nb  0.750  0.750  0.750
Pd  0.000  0.000  0.000
Li  0.250  0.250  0.250